P.
# Zn12CdAu6 GGA-PBE relaxed
data_Zn12CdAu6
_chemical_formula_sum 'Zn36 Cd3 Au18'
_cell_length_a 11.7371
_cell_length_b 11.7371
_cell_length_c 8.5874
_cell_angle_alpha 90.00
_cell_angle_beta 90.00
_cell_angle_gamma 120.00
_symmetry_space_group_name_H-M 'R -3 m'
_symmetry_Int_Tables_number 166
_symmetry_space_group_name_Hall '-R 3 2"'
loop_
_atom_site_label
_atom_site_type_symbol
_atom_site_fract_x
_atom_site_fract_y
_atom_site_fract_z
Zn1 Zn 0.0000 0.3882 0.0000
Zn2 Zn 0.0832 0.1663 0.7755
Cd1 Cd 0.0000 0.0000 0.5000
Au1 Au 0.0638 0.5319 0.7395
# - Total moment: 0.000 μB per atom

***

Q.
# Zn12CdAu6 GGA-PBE relaxed
data_Zn12CdAu6
_chemical_formula_sum 'Zn36 Cd3 Au18'
_cell_length_a 9.5812
_cell_length_b 9.5812
_cell_length_c 12.1309
_cell_angle_alpha 90.00
_cell_angle_beta 90.00
_cell_angle_gamma 120.00
_symmetry_space_group_name_H-M 'R -3'
_symmetry_Int_Tables_number 148
_symmetry_space_group_name_Hall '-R 3'
loop_
_atom_site_label
_atom_site_type_symbol
_atom_site_fract_x
_atom_site_fract_y
_atom_site_fract_z
Zn1 Zn 0.0511 0.8414 0.4141
Zn2 Zn 0.0806 0.1839 0.7912
Cd1 Cd 0.0000 0.0000 0.0000
Au1 Au 0.0148 0.4125 0.7208
# - Total moment: 0.000 μB per atom

***

Energies in eV/atom, measured from the most stable structure: P 0.007; Q 0.000.